Lu2CdPd2 | PBE-GGA | relaxed

Final energy = -4.89 eV/atom
Total moment = 0.0 μB per cell
Energy relative to the elements = -0.835 eV/atom
Crystal system = tetragonal

Geometry as CIF:
```
data_Lu2CdPd2
_chemical_formula_sum 'Lu4 Cd2 Pd4'
_space_group_name_H-M_alt 'P 4/m b m'
_space_group_IT_number 127
_space_group_name_Hall '-P 4 2ab'
_cell_length_a 7.6720
_cell_length_b 7.6720
_cell_length_c 3.5921
_cell_angle_alpha 90.00
_cell_angle_beta 90.00
_cell_angle_gamma 90.00
loop_
_atom_site_label
_atom_site_type_symbol
_atom_site_fract_x
_atom_site_fract_y
_atom_site_fract_z
Lu1 Lu 0.1677 0.3323 0.0000
Cd1 Cd 0.0000 0.0000 0.5000
Pd1 Pd 0.1307 0.6307 0.5000
```


TlSnTe2AuS | PBE-GGA | relaxed

Final energy = -3.49 eV/atom
Crystal system = orthorhombic

Geometry as CIF:
```
data_TlSnTe2AuS
_chemical_formula_sum 'Tl4 Sn4 Te8 Au4 S4'
_space_group_name_H-M_alt 'C m c m'
_space_group_IT_number 63
_space_group_name_Hall '-C 2c 2'
_cell_length_a 4.4418
_cell_length_b 13.0877
_cell_length_c 11.6794
_cell_angle_alpha 90.00
_cell_angle_beta 90.00
_cell_angle_gamma 90.00
loop_
_atom_site_label
_atom_site_type_symbol
_atom_site_fract_x
_atom_site_fract_y
_atom_site_fract_z
Tl1 Tl 0.0000 0.2202 0.2500
Sn1 Sn 0.0000 0.5000 0.0000
Te1 Te 0.0000 0.1576 0.5315
Au1 Au 0.0000 0.0635 0.7500
S1 S 0.0000 0.4753 0.7500
```


NbP2O7 | PBE-GGA | relaxed

Final energy = -7.80 eV/atom
Total moment = 4.0 μB per cell
Crystal system = cubic

Geometry as CIF:
```
data_NbP2O7
_chemical_formula_sum 'Nb4 P8 O28'
_space_group_name_H-M_alt 'P a -3'
_space_group_IT_number 205
_space_group_name_Hall '-P 2ac 2ab 3'
_cell_length_a 8.3401
_cell_length_b 8.3401
_cell_length_c 8.3401
_cell_angle_alpha 90.00
_cell_angle_beta 90.00
_cell_angle_gamma 90.00
loop_
_atom_site_label
_atom_site_type_symbol
_atom_site_fract_x
_atom_site_fract_y
_atom_site_fract_z
Nb1 Nb 0.0000 0.0000 0.0000
P1 P 0.1097 0.6097 0.8903
O1 O 0.0000 0.0000 0.5000
O2 O 0.0558 0.7188 0.4124
```


NaNbPO | PBE-GGA | relaxed

Final energy = -6.28 eV/atom
Excess energy over the best structure of this formula in the dataset = 404 meV per atom
Total moment = 0.0 μB per cell
Crystal system = tetragonal

Geometry as CIF:
```
data_NaNbPO
_chemical_formula_sum 'Na2 Nb2 P2 O2'
_space_group_name_H-M_alt 'P 4/n m m'
_space_group_IT_number 129
_cell_length_a 4.9667
_cell_length_b 4.9667
_cell_length_c 4.6912
_cell_angle_alpha 90.00
_cell_angle_beta 90.00
_cell_angle_gamma 90.00
loop_
_space_group_symop_operation_xyz
'x,y,z'
'-x,-y,-z'
'-y+1/2,x,z'
'y+1/2,-x,-z'
'-x+1/2,-y+1/2,z'
'x+1/2,y+1/2,-z'
'y,-x+1/2,z'
'-y,x+1/2,-z'
'x+1/2,-y,-z'
'-x+1/2,y,z'
'-y,-x,-z'
'y,x,z'
'-x,y+1/2,-z'
'x,-y+1/2,z'
'y+1/2,x+1/2,-z'
'-y+1/2,-x+1/2,z'
loop_
_atom_site_label
_atom_site_type_symbol
_atom_site_fract_x
_atom_site_fract_y
_atom_site_fract_z
Na1 Na 0.2500 0.2500 0.0071
Nb1 Nb 0.2500 0.7500 0.5000
P1 P 0.2500 0.2500 0.5081
O1 O 0.2500 0.7500 0.0000
```


NdHfU | PBE-GGA | relaxed

Final energy = -7.48 eV/atom
Excess energy over the best structure of this formula in the dataset = 0 meV per atom
Total moment = 10.0 μB per cell
Energy relative to the elements = 1.193 eV/atom
Crystal system = cubic

Geometry as CIF:
```
data_NdHfU
_chemical_formula_sum 'Nd4 Hf4 U4'
_space_group_name_H-M_alt 'F -4 3 m'
_space_group_IT_number 216
_space_group_name_Hall 'F -4 2 3'
_cell_length_a 7.1345
_cell_length_b 7.1345
_cell_length_c 7.1345
_cell_angle_alpha 90.00
_cell_angle_beta 90.00
_cell_angle_gamma 90.00
loop_
_atom_site_label
_atom_site_type_symbol
_atom_site_fract_x
_atom_site_fract_y
_atom_site_fract_z
Nd1 Nd 0.0000 0.0000 0.0000
Hf1 Hf 0.2500 0.2500 0.2500
U1 U 0.0000 0.0000 0.5000
```


CsPdCl3 | PBE-GGA | relaxed

Final energy = -3.40 eV/atom
Crystal system = cubic

Geometry as CIF:
```
data_CsPdCl3
_chemical_formula_sum 'Cs1 Pd1 Cl3'
_space_group_name_H-M_alt 'P m -3 m'
_space_group_IT_number 221
_space_group_name_Hall '-P 4 2 3'
_cell_length_a 5.0424
_cell_length_b 5.0424
_cell_length_c 5.0424
_cell_angle_alpha 90.00
_cell_angle_beta 90.00
_cell_angle_gamma 90.00
loop_
_atom_site_label
_atom_site_type_symbol
_atom_site_fract_x
_atom_site_fract_y
_atom_site_fract_z
Cs1 Cs 0.0000 0.0000 0.0000
Pd1 Pd 0.5000 0.5000 0.5000
Cl1 Cl 0.0000 0.5000 0.5000
```


AlCoHgPt | PBE-GGA | relaxed

Final energy = -4.40 eV/atom
Excess energy over the best structure of this formula in the dataset = 0 meV per atom
Total moment = 3.6 μB per cell
Crystal system = cubic

Geometry as CIF:
```
data_AlCoHgPt
_chemical_formula_sum 'Al4 Co4 Hg4 Pt4'
_space_group_name_H-M_alt 'F -4 3 m'
_space_group_IT_number 216
_space_group_name_Hall 'F -4 2 3'
_cell_length_a 6.2745
_cell_length_b 6.2745
_cell_length_c 6.2745
_cell_angle_alpha 90.00
_cell_angle_beta 90.00
_cell_angle_gamma 90.00
loop_
_atom_site_label
_atom_site_type_symbol
_atom_site_fract_x
_atom_site_fract_y
_atom_site_fract_z
Al1 Al 0.0000 0.0000 0.0000
Co1 Co 0.2500 0.2500 0.2500
Hg1 Hg 0.0000 0.0000 0.5000
Pt1 Pt 0.2500 0.2500 0.7500
```


HgTeO3 | PBE-GGA | relaxed

Final energy = -4.10 eV/atom
Crystal system = tetragonal

Geometry as CIF:
```
data_HgTeO3
_chemical_formula_sum 'Hg1 Te1 O3'
_space_group_name_H-M_alt 'P 4/m m m'
_space_group_IT_number 123
_space_group_name_Hall '-P 4 2'
_cell_length_a 4.1075
_cell_length_b 4.1075
_cell_length_c 4.1222
_cell_angle_alpha 90.00
_cell_angle_beta 90.00
_cell_angle_gamma 90.00
loop_
_atom_site_label
_atom_site_type_symbol
_atom_site_fract_x
_atom_site_fract_y
_atom_site_fract_z
Hg1 Hg 0.0000 0.0000 0.0000
Te1 Te 0.5000 0.5000 0.5000
O1 O 0.0000 0.5000 0.5000
O2 O 0.5000 0.5000 0.0000
```